The following is a PBE calculation of a relaxed IrAu2Se crystal, from Alexandria.

The total energy is -16.75 eV/cell. As for the calculated volume: 70.9 Å³/cell.

The structure belongs to space group Pmmm (No. 47); the cell edges are 2.7889, 4.3223 and 5.8782 Å and the angles 90.00°, 90.00° and 90.00°. The asymmetric unit holds Ir at (0.0000, 0.0000, 0.0000), Au at (0.5000, 0.5000, 0.2388) and Se at (0.0000, 0.0000, 0.5000).